No. 1
The following is a DFT calculation (PBE) of an optimized crystal structure of MgIn2.

Computed properties:
energy of formation	-0.033	eV/atom
calculated density	5.61	Mg/m³
magnetization	0.00	μB/f.u.

Cell lengths 6.0262, 6.0262, 12.2132 Å; angles 138.90, 138.90, 33.31 degrees
Fractional positions:
In 0.6534 0.6534 0.3241
In 0.0186 0.0186 0.0047
In 0.3206 0.3206 0.6557
In 0.1157 0.1157 0.7322
Mg 0.7846 0.7846 0.0559
Mg 0.4405 0.4405 0.3940

=====

No. 2
The following is a DFT calculation (PBE) of an optimized crystal structure of YAl.

Computed properties:
energy of formation	-0.142	eV/atom
calculated density	3.35	Mg/m³
magnetization	0.00	μB/f.u.

Cell lengths 10.4394, 10.4394, 4.2154 Å; angles 90.00, 90.00, 90.00 degrees
Fractional positions:
Al 0.6972 0.3028 0.5000
Al 0.3028 0.3028 0.5000
Al 0.1972 0.8028 0.0000
Al 0.6972 0.6972 0.5000
Al 0.8028 0.1972 0.0000
Al 0.3028 0.6972 0.5000
Al 0.1972 0.1972 0.0000
Al 0.8028 0.8028 0.0000
Y 0.0000 0.3012 0.5000
Y 0.8012 0.5000 0.0000
Y 0.5000 0.8012 0.0000
Y 0.6988 0.0000 0.5000
Y 0.5000 0.1988 0.0000
Y 0.3012 0.0000 0.5000
Y 0.1988 0.5000 0.0000
Y 0.0000 0.6988 0.5000

=====

No. 3
The following is a DFT calculation (PBE) of an optimized crystal structure of La3Nd2PaP6.

Computed properties:
energy of formation	-1.538	eV/atom
calculated density	6.02	Mg/m³
magnetization	0.00	μB/f.u.

Cell lengths 7.2246, 7.2246, 7.2518 Å; angles 99.55, 99.55, 119.98 degrees
Fractional positions:
P 0.2395 0.2395 0.7623
P 0.9212 0.6016 0.7629
P 0.7605 0.7605 0.2377
P 0.6016 0.9212 0.7629
P 0.0788 0.3984 0.2371
P 0.3984 0.0788 0.2371
Nd 0.6660 0.3340 0.0000
Nd 0.3340 0.6660 0.0000
La 0.1692 0.8308 0.5000
La 0.5000 0.5000 0.5000
La 0.8308 0.1692 0.5000
Pa 0.0000 0.0000 0.0000

=====

No. 4
The following is a DFT calculation (PBE) of an optimized crystal structure of CePm2PbN.

Computed properties:
raw formation energy	-0.8776	eV per atom
calculated density	8.77	Mg/m³
magnetization	0.89	μB/f.u.

Cell lengths 4.8629, 5.0345, 5.0345 Å; angles 90.00, 90.00, 90.00 degrees
Each line ends with the local moment (μB).
Fractional positions:
Pb 0.5000 0.5000 0.5000  0.00
Ce 0.5000 0.0000 0.0000  0.62
N 0.0000 0.0000 0.0000  -0.02
Pm 0.0000 0.0000 0.5000  0.06
Pm 0.0000 0.5000 0.0000  0.06

=====

No. 5
The following is a DFT calculation (PBE) of an optimized crystal structure of NaMn2TcBi.

Computed properties:
energy of formation	0.724	eV/atom
calculated density	5.67	Mg/m³
magnetization	8.47	μB/f.u.

Cell lengths 4.9694, 5.2154, 4.9694 Å; angles 90.00, 90.00, 90.00 degrees
Each line ends with the local moment (μB).
Fractional positions:
Bi 0.0000 0.5000 0.0000  0.06
Mn 0.5000 0.0000 0.0000  4.10
Mn 0.0000 0.0000 0.5000  3.92
Tc 0.0000 0.0000 0.0000  -0.28
Na 0.5000 0.5000 0.5000  -0.01

=====

No. 6
The following is a DFT calculation (PBE) of an optimized crystal structure of Zr2CdSb.

Computed properties:
distance to the lowest polymorph of the same formula	34	meV/atom
raw formation energy	-0.2969	eV per atom
calculated density	7.84	Mg/m³
magnetization	0.00	μB/f.u.

Cell lengths 5.2526, 5.2526, 3.3089 Å; angles 90.00, 90.00, 104.85 degrees
Fractional positions:
Sb 0.0000 0.5000 0.5000
Cd 0.5000 0.0000 0.5000
Zr 0.5000 0.5000 0.0000
Zr 0.0000 0.0000 0.0000

=====

No. 7
The following is a DFT calculation (PBE) of an optimized crystal structure of SrLiRe2.

Computed properties:
distance to the lowest polymorph of the same formula	100	meV/atom
energy of formation	0.541	eV/atom
calculated density	9.64	Mg/m³
magnetization	0.00	μB/f.u.

Cell lengths 4.2593, 2.8793, 6.6645 Å; angles 79.90, 90.00, 90.00 degrees
Fractional positions:
Sr 0.0000 0.4936 0.4917
Li 0.5000 0.7759 0.8103
Re 0.5000 0.2495 0.1650
Re 0.0000 0.9811 0.0330

=====

No. 8
The following is a DFT calculation (PBE) of an optimized crystal structure of LiZn3Cu3.

Computed properties:
distance to the lowest polymorph of the same formula	0	meV/atom
energy of formation	-0.063	eV/atom
calculated density	6.64	Mg/m³
magnetization	0.00	μB/f.u.

Cell lengths 6.1174, 6.1174, 5.2626 Å; angles 90.00, 90.00, 88.30 degrees
Fractional positions:
Cu 0.5000 0.0000 0.2514
Cu 0.0000 0.5000 0.7486
Cu 0.0000 0.5000 0.2514
Cu 0.0000 0.0000 0.7421
Cu 0.5000 0.0000 0.7486
Cu 0.0000 0.0000 0.2579
Li 0.3004 0.6996 0.0000
Li 0.6996 0.3004 0.0000
Zn 0.2648 0.7352 0.5000
Zn 0.2427 0.2427 0.0000
Zn 0.7352 0.2648 0.5000
Zn 0.7105 0.7105 0.5000
Zn 0.7573 0.7573 0.0000
Zn 0.2895 0.2895 0.5000

=====

No. 9
The following is a DFT calculation (PBE) of an optimized crystal structure of ReSeBr2.

Computed properties:
distance to the lowest polymorph of the same formula	1342	meV/atom
raw formation energy	1.3846	eV per atom
calculated density	9.21	Mg/m³
magnetization	0.01	μB/f.u.

Cell lengths 4.9461, 4.9461, 4.9461 Å; angles 125.89, 125.89, 80.06 degrees
Fractional positions:
Br 0.5000 0.5000 0.0000
Br 0.0000 0.0000 0.0000
Re 0.2500 0.7500 0.5000
Se 0.7500 0.2500 0.5000

=====

No. 10
The following is a DFT calculation (PBE) of an optimized crystal structure of KUSb.

Computed properties:
raw formation energy	0.0755	eV per atom
calculated density	6.15	Mg/m³
magnetization	1.63	μB/f.u.

Cell lengths 3.7036, 19.0774, 9.7955 Å; angles 19.04, 90.00, 95.57 degrees
Each line ends with the local moment (μB).
Fractional positions:
K 0.4013 0.8026 0.5139  0.00
K 0.5987 0.1974 0.4861  0.00
U 0.6786 0.3573 0.7678  1.40
U 0.3214 0.6427 0.2322  1.40
Sb 0.8457 0.6914 0.3974  0.00
Sb 0.1543 0.3086 0.6026  0.00

=====

No. 11
The following is a DFT calculation (PBE) of an optimized crystal structure of AcSmRhCl.

Computed properties:
raw formation energy	-1.1941	eV per atom
calculated density	7.25	Mg/m³
magnetization	0.00	μB/f.u.

Cell lengths 4.1553, 4.1549, 8.2509 Å; angles 90.00, 104.57, 120.01 degrees
Fractional positions:
Ac 0.5063 0.1510 0.6726
Rh 0.3133 0.5544 0.8832
Cl 0.9521 0.3744 0.3411
Sm 0.1062 0.9510 0.0728

=====

No. 12
The following is a DFT calculation (PBE) of an optimized crystal structure of Tb6Ho5Sc.

Computed properties:
energy of formation	0.027	eV/atom
calculated density	8.17	Mg/m³
magnetization	0.00	μB/f.u.

Cell lengths 4.9788, 9.9351, 9.3214 Å; angles 122.18, 105.44, 90.09 degrees
Fractional positions:
Ho 0.3351 0.8351 0.6701
Ho 0.0000 0.5000 0.0000
Ho 0.6649 0.1649 0.3299
Ho 0.3338 0.3338 0.6676
Ho 0.6662 0.6662 0.3324
Tb 0.8341 0.0823 0.6683
Tb 0.1659 0.9177 0.3317
Tb 0.5001 0.7536 0.0000
Tb 0.8342 0.5860 0.6683
Tb 0.4999 0.2464 0.0000
Tb 0.1658 0.4140 0.3317
Sc 0.0000 0.0000 0.0000